[1]
Below is a relaxed Sr2LiCaRh crystal, with properties calculated at the GGA-PBEsol level.

Summary:
Space group: P4/mmm (123)

```
5
Lattice="-0.8790 -2.1969 3.7680 -1.1028 -4.8202 -3.0676 5.5967 -1.5400 0.4077" Properties=species:S:1:pos:R:3 pbc="T T T"
Li 0.0000 0.0000 0.0000
Ca 1.8074 -4.2785 0.5541
Sr -0.5514 -2.4101 -1.5338
Sr 2.7983 -0.7700 0.2039
Rh -0.4395 -1.0985 1.8840
```

=====

[2]
Below is a relaxed Ta2Tl2P7HO24 crystal, with properties calculated at the GGA-PBEsol level.

Summary:
Space group: P2_1/m (11)

```
72
Lattice="5.1455 -0.0259 0.0000 -1.0690 10.8155 0.0000 0.0000 0.0000 18.6119" Properties=species:S:1:pos:R:3 pbc="T T T"
O 3.7377 8.1177 17.9698
O 0.2746 10.3162 18.0183
O 3.6137 0.1988 6.1866
O 1.3044 7.7618 10.1775
P 1.3297 0.4699 16.7882
O 4.1006 9.5512 7.5821
Tl 2.6666 10.5134 13.9589
P 0.3307 5.7906 6.9400
O 3.8019 0.4734 0.5936
O -0.2437 5.6720 12.3114
O 0.0429 6.9938 7.8468
O 3.6137 0.1988 3.1194
O 1.3484 2.7760 2.9963
O 2.5417 8.1736 4.6530
P 1.2944 7.2819 4.6530
O 1.6577 9.2417 1.5021
O 2.6238 4.4889 12.7135
P 1.3297 0.4699 11.1296
O 1.3484 2.7760 6.3097
O 2.6238 4.4889 15.2044
Ta 3.9437 2.1091 18.1815
O 4.3201 5.1176 3.0054
H 0.5462 2.8767 13.9589
O 4.3201 5.1176 6.3005
O 1.2319 4.8443 7.8494
O 0.4628 10.5908 12.4253
P 3.7458 4.9990 11.6718
O 1.4527 6.3007 5.8984
O -0.0242 1.2384 16.8881
Tl 1.4099 0.2762 4.6530
O 1.4527 6.3007 3.4075
P 2.7468 10.3197 7.4823
O 4.0336 3.7958 17.1527
O 0.4628 10.5908 15.4925
P 2.7468 10.3197 1.8236
P 0.3307 5.7906 2.3659
O -0.0242 1.2384 11.0297
O 0.0429 6.9938 1.4592
O 0.2746 10.3162 9.8995
Ta 3.9437 2.1091 9.7363
O 2.4187 1.5479 17.1098
O 3.8019 0.4734 8.7124
O 2.4187 1.5479 10.8080
O 3.7377 8.1177 9.9480
O 2.8446 5.9453 17.1553
O 0.3388 2.6719 0.6421
O 1.5347 2.6160 13.9589
P 3.7458 4.9990 16.2460
O 2.8446 5.9453 10.7625
O 2.7281 8.0136 15.6156
Tl 0.0776 7.8087 13.9589
P 1.4269 3.2397 1.5905
Tl 3.9988 2.9809 4.6530
H 3.5302 7.9129 4.6530
Ta 0.1327 8.6806 8.8755
O 1.6577 9.2417 7.8038
O -0.2437 5.6720 15.6064
O 4.0638 2.7575 13.9589
O 1.3044 7.7618 17.7403
O 0.3388 2.6719 8.6638
O 2.7721 3.0278 0.8715
P 2.6495 7.5499 17.0214
O 4.0336 3.7958 10.7651
O 0.0127 8.0321 4.6530
P 2.6495 7.5499 10.8964
O 1.2319 4.8443 1.4566
Ta 0.1327 8.6806 0.4304
P 2.7820 3.5077 13.9589
O 2.7281 8.0136 12.3022
O 2.7721 3.0278 8.4344
O 4.1006 9.5512 1.7238
P 1.4269 3.2397 7.7154
```

=====

| no. | E (eV per formula unit) | DOS(E_F) (states/eV/cell) |
| --- | --- | --- |
| 1 | -14.43 | 4.43 |
| 2 | -278.47 | 0.00 |